[1]
The following is a DFT calculation (PBE) of a geometry-optimized Ba2Os structure.

The structure in extended XYZ format:
```
12
Lattice="4.972 0.000 0.000 0.000 8.151 0.000 0.000 0.000 9.561" Properties=species:S:1:pos:R:3 pbc="T T T"
Ba 3.729 2.855 8.884
Ba 3.729 7.929 1.619
Ba 1.243 4.297 6.400
Ba 3.729 6.930 5.458
Ba 3.729 3.853 3.162
Ba 1.243 1.221 4.104
Ba 1.243 5.296 0.677
Ba 1.243 0.222 7.943
Os 1.243 6.146 3.700
Os 1.243 2.070 1.081
Os 3.729 6.081 8.481
Os 3.729 2.005 5.861
```

Calculated values
Total moment ... 0.00 μB per cell
Distance to the lowest polymorph of the same formula ... 0.455 eV/atom
N(E_F) ... 9.28 states/eV per cell
Formation energy from the elements ... 0.68 eV/atom

---

[2]
The following is a DFT calculation (PBE) of a geometry-optimized Li5P4 structure.

The structure in extended XYZ format:
```
18
Lattice="8.297 0.000 0.000 -4.149 7.186 0.000 0.000 0.000 4.613" Properties=species:S:1:pos:R:3 pbc="T T T"
Li 0.000 4.790 0.000
Li 4.149 2.395 2.306
Li 1.107 1.918 1.153
Li 0.000 4.790 2.306
Li 3.041 5.268 3.460
Li -1.107 1.918 3.460
Li -3.041 5.268 1.153
Li 4.149 2.395 0.000
Li 2.215 0.000 3.460
Li 6.083 0.000 1.153
P 1.819 3.151 3.460
P 3.638 0.000 1.153
P 4.659 0.000 3.460
P 0.000 0.000 2.306
P -1.819 3.151 1.153
P 0.000 0.000 0.000
P -2.330 4.035 3.460
P 2.330 4.035 1.153
```

Calculated values
Total moment ... 0.00 μB per cell
Distance to the lowest polymorph of the same formula ... 0.210 eV/atom
N(E_F) ... 8.81 states/eV per cell
Formation energy from the elements ... -0.34 eV/atom

---

[3]
The following is a DFT calculation (PBE) of a geometry-optimized CaPuNi4 structure.

The structure in extended XYZ format:
```
6
Lattice="5.072 0.000 0.000 2.536 4.392 0.000 2.536 1.464 4.141" Properties=species:S:1:pos:R:3 pbc="T T T"
Ni 5.072 2.928 0.511
Ni 6.346 3.664 2.591
Ni 5.072 1.457 2.591
Ni 3.798 3.664 2.591
Ca 2.536 1.464 1.035
Pu 0.000 0.000 0.000
```

Calculated values
Total moment ... 4.36 μB per cell
N(E_F) ... 17.06 states/eV per cell
Formation energy from the elements ... -0.17 eV/atom

---

[4]
The following is a DFT calculation (PBE) of a geometry-optimized Nd5Ho4Er4 structure.

The structure in extended XYZ format:
```
13
Lattice="4.892 -0.005 1.248 2.438 9.133 0.624 0.201 0.000 9.482" Properties=species:S:1:pos:R:3 pbc="T T T"
Nd 0.000 0.000 0.000
Nd 1.919 1.431 2.694
Nd 4.532 6.996 2.637
Nd 2.999 2.132 8.716
Nd 5.611 7.697 8.660
Er 5.787 4.212 7.976
Er 1.743 4.916 3.378
Er 3.854 2.836 5.337
Er 3.676 6.292 6.016
Ho 4.716 3.540 1.939
Ho 2.815 5.588 9.414
Ho 6.460 8.416 5.309
Ho 1.071 0.712 6.044
```

Calculated values
Total moment ... 0.00 μB per cell
N(E_F) ... 18.61 states/eV per cell
Formation energy from the elements ... 0.02 eV/atom

---

[5]
The following is a DFT calculation (PBE) of a geometry-optimized KLaY structure.

The structure in extended XYZ format:
```
3
Lattice="9.685 0.027 0.000 8.259 5.059 0.000 -8.972 -2.543 2.615" Properties=species:S:1:pos:R:3 pbc="T T T"
Y 12.270 3.478 0.000
La 5.632 1.596 0.000
K 0.042 0.012 0.000
```

Calculated values
Total moment ... 0.31 μB per cell
Distance to the lowest polymorph of the same formula ... 0.038 eV/atom
N(E_F) ... 4.80 states/eV per cell
Formation energy from the elements ... 0.27 eV/atom

---

[6]
The following is a DFT calculation (PBE) of a geometry-optimized Sc3FeNi structure.

The structure in extended XYZ format:
```
5
Lattice="4.710 0.000 0.000 0.000 4.710 0.000 0.000 0.000 4.710" Properties=species:S:1:pos:R:3 pbc="T T T"
Sc 2.355 0.000 0.000
Sc 0.000 0.000 2.355
Sc 0.000 2.355 0.000
Ni 2.355 2.355 2.355
Fe 0.000 0.000 0.000
```

Calculated values
Total moment ... 0.00 μB per cell
Distance to the lowest polymorph of the same formula ... 0.000 eV/atom
N(E_F) ... 4.02 states/eV per cell
Formation energy from the elements ... 0.23 eV/atom

---

[7]
The following is a DFT calculation (PBE) of a geometry-optimized NpNiSe structure.

The structure in extended XYZ format:
```
6
Lattice="-0.237 -2.642 2.955 -3.878 -3.125 -3.112 8.234 1.996 -0.217" Properties=species:S:1:pos:R:3 pbc="T T T"
Se 6.595 1.102 0.183
Se -2.476 -4.872 -0.556
Ni 1.287 -3.340 -1.555
Ni 2.832 -0.430 1.181
Np 4.348 -0.305 -1.255
Np -0.229 -3.465 0.881
```

Calculated values
Total moment ... 7.98 μB per cell
Raw formation energy ... -0.54 eV per atom
N(E_F) ... 16.57 states/eV per cell

---

[8]
The following is a DFT calculation (PBE) of a geometry-optimized KTe3S3 structure.

The structure in extended XYZ format:
```
14
Lattice="-1.233 -7.414 -2.371 -1.010 -5.723 5.324 -9.766 -2.856 0.911" Properties=species:S:1:pos:R:3 pbc="T T T"
S -2.483 -1.834 0.980
S -3.020 -5.110 -0.963
S -8.988 -10.883 4.827
S -9.526 -14.160 2.884
S -3.054 -5.127 2.884
S -8.954 -10.866 0.980
Te -4.902 -10.059 0.596
Te -7.759 -9.822 2.849
Te -4.249 -6.171 1.016
Te -7.345 -7.524 -0.355
Te -4.663 -8.469 4.219
Te -7.106 -5.935 3.268
K -1.763 -8.713 1.966
K -10.245 -7.280 1.898
```

Calculated values
Total moment ... 0.00 μB per cell
Raw formation energy ... -0.16 eV per atom
N(E_F) ... 3.70 states/eV per cell